1.
Entry from Alexandria via LeMat-Bulk: a geometry-optimized Y2Ga5Ni3 structure (PBE-GGA).

Unit cell a=5.5439 b=8.3504 c=8.3504 alpha=72.21 beta=70.61 gamma=70.61
Closest atoms and distances in Å follow each position.
Element x y z (fractional)
Y (0.1426, 0.5812, 0.1335)  10 Ga 3.03-3.33, 4 Ni 3.06-3.18
Y (0.6426, 0.1335, 0.5812)  10 Ga 3.03-3.33, 4 Ni 3.06-3.18
Y (0.8574, 0.4188, 0.8665)  10 Ga 3.03-3.33, 4 Ni 3.06-3.18
Y (0.3574, 0.8665, 0.4188)  10 Ga 3.03-3.33, 4 Ni 3.06-3.18
Ga (0.4104, 0.2619, 0.9172)  3 Ni 2.41-2.45, 2 Ga 2.64
Ga (0.9104, 0.9172, 0.2619)  3 Ni 2.41-2.45, 2 Ga 2.64
Ga (0.5896, 0.7381, 0.0828)  3 Ni 2.41-2.45, 2 Ga 2.64
Ga (0.0896, 0.0828, 0.7381)  3 Ni 2.41-2.45, 2 Ga 2.64
Ga (0.4600, 0.7900, 0.7900)  3 Ni 2.44-2.58, 2 Ga 2.64
Ga (0.5400, 0.2100, 0.2100)  3 Ni 2.44-2.58, 2 Ga 2.64
Ga (0.7500, 0.5000, 0.5000)  4 Ni 2.43
Ga (0.2500, 0.5000, 0.5000)  4 Ni 2.43
Ga (0.0400, 0.2100, 0.2100)  3 Ni 2.44-2.58, 2 Ga 2.64
Ga (0.9600, 0.7900, 0.7900)  3 Ni 2.44-2.58, 2 Ga 2.64
Ni (0.3557, 0.5513, 0.7373)  5 Ga 2.41-2.44
Ni (0.8557, 0.7373, 0.5513)  5 Ga 2.41-2.44
Ni (0.6443, 0.4487, 0.2627)  5 Ga 2.41-2.44
Ni (0.1443, 0.2627, 0.4487)  5 Ga 2.41-2.44
Ni (0.2500, 0.0000, 0.0000)  6 Ga 2.45-2.58
Ni (0.7500, 0.0000, 0.0000)  6 Ga 2.45-2.58

Calculated values
**Energy relative to the lowest polymorph listed for this composition**: 0.0000 eV per atom
**Total moment**: 0.0 μB per cell
**E_form**: -0.616 eV per atom
**E**: -103.1 eV per cell
**SG**: Ibam


2.
Entry from Alexandria via LeMat-Bulk: a geometry-optimized HgBi4Pd structure (PBE-GGA).

Unit cell a=7.7382 b=7.7351 c=8.2292 alpha=118.13 beta=118.15 gamma=89.81
Closest atoms and distances in Å follow each position.
Element x y z (fractional)
Hg (0.6228, 0.8728, 0.7456)  4 Bi 3.12
Hg (0.3772, 0.1272, 0.2544)  4 Bi 3.12
Bi (0.8201, 0.5496, 0.8320)  2 Pd 2.91-3.01, 1 Hg 3.12, 1 Bi 3.16
Bi (0.5120, 0.2824, 0.8320)  2 Pd 2.91-3.01, 1 Hg 3.12, 1 Bi 3.16
Bi (0.7828, 0.3212, 0.3325)  2 Pd 2.91-3.01, 1 Hg 3.12, 1 Bi 3.16
Bi (0.2172, 0.6788, 0.6675)  2 Pd 2.91-3.01, 1 Hg 3.12, 1 Bi 3.16
Bi (0.9503, 0.9887, 0.6675)  2 Pd 2.91-3.01, 1 Hg 3.12, 1 Bi 3.16
Bi (0.4880, 0.7176, 0.1680)  2 Pd 2.91-3.01, 1 Hg 3.12, 1 Bi 3.16
Bi (0.0497, 0.0113, 0.3325)  2 Pd 2.91-3.01, 1 Hg 3.12, 1 Bi 3.16
Bi (0.1799, 0.4504, 0.1680)  2 Pd 2.91-3.01, 1 Hg 3.12, 1 Bi 3.16
Pd (0.8748, 0.6248, 0.2496)  8 Bi 2.91-3.01
Pd (0.1252, 0.3752, 0.7504)  8 Bi 2.91-3.01

Calculated values
**Total moment**: 0.0 μB per cell
**E_form**: -0.068 eV per atom
**E**: -42.9 eV per cell
**SG**: C2/c


3.
Entry from Alexandria via LeMat-Bulk: a geometry-optimized Pr2Ag2P3 structure (PBE-GGA).

Unit cell a=4.2207 b=7.9627 c=9.7617 alpha=82.27 beta=77.51 gamma=74.63
Closest atoms and distances in Å follow each position.
Element x y z (fractional)
Pr (0.2641, 0.1347, 0.3372)  6 P 2.88-3.15
Pr (0.7359, 0.8653, 0.6628)  6 P 2.88-3.15
Pr (0.3919, 0.2712, 0.9449)  7 P 2.90-3.24, 1 Ag 3.23
Pr (0.6081, 0.7288, 0.0551)  7 P 2.90-3.24, 1 Ag 3.23
Ag (0.0492, 0.2208, 0.6807)  4 P 2.57-2.68
Ag (0.9508, 0.7792, 0.3193)  4 P 2.57-2.68
Ag (0.4101, 0.5237, 0.6560)  4 P 2.53-2.74
Ag (0.5899, 0.4763, 0.3440)  4 P 2.53-2.74
P (0.0740, 0.9640, 0.8880)  1 P 2.25
P (0.9260, 0.0360, 0.1120)  1 P 2.25
P (0.1651, 0.4912, 0.1786)  3 Ag 2.63-2.68, 1 Pr 2.90
P (0.8349, 0.5088, 0.8214)  3 Ag 2.63-2.68, 1 Pr 2.90
P (0.3724, 0.7823, 0.4730)  4 Ag 2.53-2.74
P (0.6276, 0.2177, 0.5270)  4 Ag 2.53-2.74

Calculated values
**Total moment**: 0.0 μB per cell
**E_form**: -0.818 eV per atom
**E**: -74.4 eV per cell
**SG**: C2/m


4.
Entry from Alexandria via LeMat-Bulk: a geometry-optimized TaGeSe3 structure (PBE-GGA).

Unit cell a=3.6527 b=7.3425 c=8.5727 alpha=99.08 beta=102.30 gamma=90.00
Closest atoms and distances in Å follow each position.
Element x y z (fractional)
Ta (0.7935, 0.7598, 0.5871)  7 Se 2.62-2.82
Ta (0.2065, 0.2402, 0.4129)  7 Se 2.62-2.82
Ge (0.5363, 0.6775, 0.0725)  2 Se 2.51, 1 Ge 2.69
Ge (0.4637, 0.3225, 0.9275)  2 Se 2.51, 1 Ge 2.69
Se (0.9515, 0.7838, 0.9029)  2 Ge 2.51, 1 Ta 2.62
Se (0.0485, 0.2162, 0.0971)  2 Ge 2.51, 1 Ta 2.62
Se (0.3309, 0.0231, 0.6618)  3 Ta 2.66-2.82, 1 Ge 2.86
Se (0.6691, 0.9769, 0.3382)  3 Ta 2.66-2.82, 1 Ge 2.86
Se (0.1896, 0.6006, 0.3792)  3 Ta 2.66-2.71
Se (0.8104, 0.3994, 0.6208)  3 Ta 2.66-2.71

Calculated values
**Energy relative to the lowest polymorph listed for this composition**: 0.1474 eV per atom
**Total moment**: 0.6 μB per cell
**E_form (uncorrected)**: -0.385 eV/atom
**E**: -57.7 eV per cell
**SG**: C2/m


5.
Entry from Alexandria via LeMat-Bulk: a geometry-optimized Ca6PrZn2 structure (PBE-GGA).

Unit cell a=3.7742 b=6.9225 c=12.3968 alpha=78.51 beta=81.24 gamma=74.18
Closest atoms and distances in Å follow each position.
Element x y z (fractional)
Ca (0.6894, 0.4975, 0.1237)  2 Zn 3.15
Ca (0.3106, 0.5025, 0.8763)  2 Zn 3.15
Ca (0.3288, 0.7504, 0.5920)  2 Zn 3.41, 4 Ca 3.56-3.77
Ca (0.9568, 0.7728, 0.3136)  2 Zn 3.14
Ca (0.0432, 0.2272, 0.6864)  2 Zn 3.14
Ca (0.6712, 0.2496, 0.4080)  2 Zn 3.41, 4 Ca 3.56-3.77
Pr (0.0000, 0.0000, 0.0000)  4 Zn 3.28
Zn (0.3403, 0.1211, 0.1983)  6 Ca 3.14-3.41, 2 Pr 3.28
Zn (0.6597, 0.8789, 0.8017)  6 Ca 3.14-3.41, 2 Pr 3.28

Calculated values
**Total moment**: 0.0 μB per cell
**E_form**: -0.074 eV per atom
**E**: -20.0 eV per cell
**SG**: C2/m


6.
Entry from Alexandria via LeMat-Bulk: a geometry-optimized La3In5Te12 structure (PBE-GGA).

Unit cell a=15.6337 b=15.6337 c=15.6337 alpha=109.47 beta=109.47 gamma=109.47
Closest atoms and distances in Å follow each position.
Element x y z (fractional)
La (0.7500, 0.3750, 0.1250)  8 Te 3.41
La (0.8750, 0.7500, 0.1250)  8 Te 3.41
La (0.3750, 0.7500, 0.6250)  8 Te 3.41
La (0.2500, 0.1250, 0.3750)  8 Te 3.41
La (0.8750, 0.1250, 0.2500)  8 Te 3.41
La (0.3750, 0.6250, 0.2500)  8 Te 3.41
La (0.6250, 0.3750, 0.7500)  8 Te 3.41
La (0.1250, 0.8750, 0.7500)  8 Te 3.41
La (0.7500, 0.8750, 0.6250)  8 Te 3.41
La (0.6250, 0.2500, 0.3750)  8 Te 3.41
La (0.1250, 0.2500, 0.8750)  8 Te 3.41
La (0.2500, 0.6250, 0.8750)  8 Te 3.41
In (0.1250, 0.3750, 0.2500)  4 Te 2.82
In (0.0000, 0.5000, 0.0000)  6 Te 2.99
In (0.0000, 0.0000, 0.0000)  6 Te 2.99
In (0.3750, 0.2500, 0.1250)  4 Te 2.82
In (0.5000, 0.0000, 0.5000)  6 Te 2.99
In (0.5000, 0.5000, 0.0000)  6 Te 2.99
In (0.1250, 0.7500, 0.3750)  4 Te 2.82
In (0.7500, 0.1250, 0.8750)  4 Te 2.82
In (0.7500, 0.6250, 0.3750)  4 Te 2.82
In (0.3750, 0.1250, 0.7500)  4 Te 2.82
In (0.6250, 0.8750, 0.2500)  4 Te 2.82
In (0.5000, 0.5000, 0.5000)  6 Te 2.99
In (0.5000, 0.0000, 0.0000)  6 Te 2.99
In (0.0000, 0.0000, 0.5000)  6 Te 2.99
In (0.2500, 0.3750, 0.6250)  4 Te 2.82
In (0.2500, 0.8750, 0.1250)  4 Te 2.82
In (0.0000, 0.5000, 0.5000)  6 Te 2.99
In (0.8750, 0.2500, 0.6250)  4 Te 2.82
In (0.6250, 0.7500, 0.8750)  4 Te 2.82
In (0.8750, 0.6250, 0.7500)  4 Te 2.82
Te (0.7150, 0.1282, 0.0415)  2 In 2.82-2.99
Te (0.3266, 0.5415, 0.4133)  2 In 2.82-2.99
Te (0.9585, 0.3718, 0.2850)  2 In 2.82-2.99
Te (0.5415, 0.2150, 0.1282)  2 In 2.82-2.99
Te (0.5867, 0.7150, 0.6734)  2 In 2.82-2.99
Te (0.9585, 0.5867, 0.1734)  2 In 2.82-2.99
Te (0.3266, 0.7850, 0.4133)  2 In 2.82-2.99
Te (0.0867, 0.9133, 0.1282)  2 In 2.82-2.99
Te (0.5867, 0.9585, 0.6734)  2 In 2.82-2.99
Te (0.7150, 0.5867, 0.1734)  2 In 2.82-2.99
Te (0.7850, 0.4585, 0.3718)  2 In 2.82-2.99
Te (0.8266, 0.9133, 0.0415)  2 In 2.82-2.99
Te (0.1282, 0.7150, 0.5415)  2 In 2.82-2.99
Te (0.3718, 0.4133, 0.0867)  2 In 2.82-2.99
Te (0.0867, 0.9133, 0.3718)  2 In 2.82-2.99
Te (0.4133, 0.1282, 0.5867)  2 In 2.82-2.99
Te (0.0867, 0.1734, 0.2150)  2 In 2.82-2.99
Te (0.4585, 0.6734, 0.0867)  2 In 2.82-2.99
Te (0.8266, 0.9133, 0.2850)  2 In 2.82-2.99
Te (0.1282, 0.4133, 0.0867)  2 In 2.82-2.99
Te (0.3718, 0.9585, 0.7850)  2 In 2.82-2.99
Te (0.5867, 0.6282, 0.4133)  2 In 2.82-2.99
Te (0.9133, 0.8266, 0.5415)  2 In 2.82-2.99
Te (0.7850, 0.3266, 0.9133)  2 In 2.82-2.99
Te (0.4133, 0.3718, 0.5867)  2 In 2.82-2.99
Te (0.0867, 0.1734, 0.4585)  2 In 2.82-2.99
Te (0.2150, 0.6734, 0.0867)  2 In 2.82-2.99
Te (0.1734, 0.0867, 0.7150)  2 In 2.82-2.99
Te (0.6282, 0.0415, 0.2150)  2 In 2.82-2.99
Te (0.8718, 0.5867, 0.9133)  2 In 2.82-2.99
Te (0.5415, 0.3266, 0.9133)  2 In 2.82-2.99
Te (0.5867, 0.8718, 0.4133)  2 In 2.82-2.99
Te (0.9133, 0.8266, 0.7850)  2 In 2.82-2.99
Te (0.9133, 0.0867, 0.6282)  2 In 2.82-2.99
Te (0.8718, 0.2850, 0.4585)  2 In 2.82-2.99
Te (0.1734, 0.0867, 0.9585)  2 In 2.82-2.99
Te (0.6282, 0.5867, 0.9133)  2 In 2.82-2.99
Te (0.4133, 0.0415, 0.3266)  2 In 2.82-2.99
Te (0.2850, 0.4133, 0.8266)  2 In 2.82-2.99
Te (0.2150, 0.5415, 0.6282)  2 In 2.82-2.99
Te (0.9133, 0.0867, 0.8718)  2 In 2.82-2.99
Te (0.6734, 0.2150, 0.5867)  2 In 2.82-2.99
Te (0.4585, 0.7850, 0.8718)  2 In 2.82-2.99
Te (0.0415, 0.4133, 0.8266)  2 In 2.82-2.99
Te (0.4133, 0.2850, 0.3266)  2 In 2.82-2.99
Te (0.0415, 0.6282, 0.7150)  2 In 2.82-2.99
Te (0.6734, 0.4585, 0.5867)  2 In 2.82-2.99
Te (0.2850, 0.8718, 0.9585)  2 In 2.82-2.99

Calculated values
**Total moment**: 0.0 μB per cell
**E_form (uncorrected)**: -0.739 eV/atom
**E**: -323.8 eV per cell
**SG**: Ia-3d


7.
Entry from Alexandria via LeMat-Bulk: a geometry-optimized LiPrNi2H8 structure (PBE-GGA).

Unit cell a=4.4394 b=4.4394 c=6.1588 alpha=68.87 beta=68.87 gamma=60.00
Closest atoms and distances in Å follow each position.
Element x y z (fractional)
Li (0.0000, 0.0000, 0.0000)  6 H 1.84
Pr (0.5000, 0.5000, 0.5000)  12 H 2.36-2.62
Ni (0.3115, 0.3115, 0.0654)  6 H 1.64-1.68
Ni (0.6885, 0.6885, 0.9346)  6 H 1.64-1.68
H (0.1998, 0.1998, 0.4005)  1 Ni 1.88
H (0.6075, 0.3507, 0.1394)  2 Ni 1.64-1.68
H (0.8002, 0.8002, 0.5995)  1 Ni 1.88
H (0.9024, 0.6075, 0.1394)  2 Ni 1.64-1.68
H (0.0976, 0.3925, 0.8606)  2 Ni 1.64-1.68
H (0.3507, 0.9024, 0.1394)  2 Ni 1.64-1.68
H (0.6493, 0.0976, 0.8606)  2 Ni 1.64-1.68
H (0.3925, 0.6493, 0.8606)  2 Ni 1.64-1.68

Calculated values
**Total moment**: 0.0 μB per cell
**E**: -47.8 eV per cell
**SG**: R-3


8.
Entry from Alexandria via LeMat-Bulk: a geometry-optimized Ce2NdPuP4 structure (PBE-GGA).

Unit cell a=4.0905 b=7.0724 c=7.0789 alpha=70.43 beta=90.00 gamma=90.00
Closest atoms and distances in Å follow each position.
Element x y z (fractional)
Ce (0.0000, 0.0000, 0.0000)  6 P 2.91
Ce (0.5000, 0.0000, 0.5000)  6 P 2.86
Nd (0.5000, 0.5000, 0.0000)  6 P 2.92
Pu (0.0000, 0.5000, 0.5000)  6 P 2.87
P (0.0000, 0.7543, 0.7430)  3 Ce 2.86-2.91, 1 Pu 2.87, 2 Nd 2.92
P (0.0000, 0.2457, 0.2570)  3 Ce 2.86-2.91, 1 Pu 2.87, 2 Nd 2.92
P (0.5000, 0.7484, 0.2567)  3 Ce 2.86-2.91, 2 Pu 2.87, 1 Nd 2.92
P (0.5000, 0.2516, 0.7433)  3 Ce 2.86-2.91, 2 Pu 2.87, 1 Nd 2.92

Calculated values
**Total moment**: 6.2 μB per cell
**E_form**: -1.421 eV per atom
**E**: -64.0 eV per cell
**SG**: P2/m


9.
Entry from Alexandria via LeMat-Bulk: a geometry-optimized LaYNb2 structure (PBE-GGA).

Unit cell a=5.1469 b=5.1469 c=5.1469 alpha=60.00 beta=60.00 gamma=60.00
Closest atoms and distances in Å follow each position.
Element x y z (fractional)
Y (0.0000, 0.0000, 0.0000)  8 Nb 3.15
Nb (0.2500, 0.2500, 0.2500)  4 La 3.15, 4 Y 3.15
Nb (0.7500, 0.7500, 0.7500)  4 Y 3.15, 4 La 3.15
La (0.5000, 0.5000, 0.5000)  8 Nb 3.15

Calculated values
**Energy relative to the lowest polymorph listed for this composition**: 0.0000 eV per atom
**Total moment**: 0.0 μB per cell
**E_form**: 0.593 eV per atom
**E**: -29.2 eV per cell
**SG**: Fm-3m


10.
Entry from Alexandria via LeMat-Bulk: a geometry-optimized NdHo3Tl2 structure (PBE-GGA).

Unit cell a=5.1298 b=6.8266 c=10.0377 alpha=90.00 beta=90.00 gamma=90.00
Closest atoms and distances in Å follow each position.
Element x y z (fractional)
Nd (0.5000, 0.5495, 0.5426)  5 Tl 3.27-3.53, 2 Nd 3.52, 2 Ho 3.53
Nd (0.5000, 0.0495, 0.4574)  5 Tl 3.27-3.53, 2 Nd 3.52, 2 Ho 3.53
Ho (0.0000, 0.4558, 0.9560)  5 Tl 3.22-3.54, 4 Ho 3.51-3.53
Ho (0.0000, 0.9558, 0.0440)  5 Tl 3.22-3.54, 4 Ho 3.51-3.53
Ho (0.5000, 0.6707, 0.1823)  4 Tl 3.17-3.23, 2 Ho 3.51
Ho (0.5000, 0.1707, 0.8177)  4 Tl 3.17-3.23, 2 Ho 3.51
Ho (0.0000, 0.3274, 0.3073)  4 Tl 3.18-3.33, 2 Nd 3.53
Ho (0.0000, 0.8274, 0.6927)  4 Tl 3.18-3.33, 2 Nd 3.53
Tl (0.5000, 0.7097, 0.8680)  8 Ho 3.17-3.54, 1 Nd 3.44
Tl (0.5000, 0.2097, 0.1320)  8 Ho 3.17-3.54, 1 Nd 3.44
Tl (0.0000, 0.2869, 0.6381)  5 Ho 3.18-3.39, 4 Nd 3.27-3.53
Tl (0.0000, 0.7869, 0.3619)  5 Ho 3.18-3.39, 4 Nd 3.27-3.53

Calculated values
**Energy relative to the lowest polymorph listed for this composition**: 0.0000 eV per atom
**Total moment**: 0.0 μB per cell
**E_form**: -0.265 eV per atom
**E**: -49.7 eV per cell
**SG**: Pmc2_1


11.
Entry from Alexandria via LeMat-Bulk: a geometry-optimized Ho6PtAu2Se3 structure (PBE-GGA).

Unit cell a=3.9753 b=8.5511 c=9.4868 alpha=109.42 beta=102.09 gamma=90.00
Closest atoms and distances in Å follow each position.
Element x y z (fractional)
Ho (0.3385, 0.9024, 0.6771)  1 Pt 2.82, 2 Au 2.93, 3 Se 2.95-3.08
Ho (0.6617, 0.5982, 0.3234)  3 Se 2.83-2.89, 3 Au 2.91-2.93
Ho (0.6615, 0.0976, 0.3229)  1 Pt 2.82, 2 Au 2.93, 3 Se 2.95-3.08
Ho (0.0054, 0.2388, 0.0109)  2 Pt 2.83, 1 Au 2.98, 3 Se 3.01-3.02
Ho (0.9946, 0.7612, 0.9891)  2 Pt 2.83, 1 Au 2.98, 3 Se 3.01-3.02
Ho (0.3383, 0.4018, 0.6766)  3 Se 2.83-2.89, 3 Au 2.91-2.93
Pt (0.5000, 0.0000, 0.0000)  6 Ho 2.82-2.83
Au (0.8240, 0.6410, 0.6481)  6 Ho 2.91-2.98
Au (0.1760, 0.3590, 0.3519)  6 Ho 2.91-2.98
Se (0.5000, 0.5000, 0.0000)  6 Ho 2.83-3.02
Se (0.8343, 0.1534, 0.6686)  6 Ho 2.89-3.08
Se (0.1657, 0.8466, 0.3314)  6 Ho 2.89-3.08

Calculated values
**Total moment**: 0.0 μB per cell
**E_form (uncorrected)**: -1.339 eV/atom
**E**: -66.6 eV per cell
**SG**: C2/m


12.
Entry from Alexandria via LeMat-Bulk: a geometry-optimized NaAcIn2Hg2 structure (PBE-GGA).

Unit cell a=5.0827 b=5.0827 c=7.5129 alpha=90.00 beta=90.00 gamma=120.00
Closest atoms and distances in Å follow each position.
Element x y z (fractional)
Na (0.0000, 0.0000, 0.5000)  6 In 3.42, 6 Hg 3.49, 2 Ac 3.76
Ac (0.0000, 0.0000, 0.0000)  6 Hg 3.48, 6 In 3.55, 2 Na 3.76
In (0.6667, 0.3333, 0.7329)  3 Hg 2.94
In (0.3333, 0.6667, 0.2671)  3 Hg 2.94
Hg (0.6667, 0.3333, 0.2486)  3 In 2.94
Hg (0.3333, 0.6667, 0.7514)  3 In 2.94

Calculated values
**Total moment**: 0.0 μB per cell
**E_form**: -0.329 eV per atom
**E**: -13.5 eV per cell
**SG**: P-3m1